The following is a DFT calculation (PBE) of an optimized crystal structure of Pm6SnAs2S3.

a b c (Å): 4.1886 8.3821 9.3636
angles (deg): 102.49 102.92 90.00
Closest atoms and distances in Å follow each position.
Element x y z (fractional)
1 Pm 0.3284 0.9142 0.6568  3 S 2.88-2.97, 2 As 2.97, 1 Sn 3.05
2 Pm 0.6675 0.5835 0.3349  3 As 2.94-2.96, 3 S 2.95-2.98
3 Pm 0.6716 0.0858 0.3432  3 S 2.88-2.97, 2 As 2.97, 1 Sn 3.05
4 Pm 0.9997 0.2647 0.9995  3 S 2.88-2.96, 1 As 2.99, 2 Sn 3.05
5 Pm 0.0003 0.7353 0.0005  3 S 2.88-2.96, 1 As 2.99, 2 Sn 3.05
6 Pm 0.3325 0.4165 0.6651  3 As 2.94-2.96, 3 S 2.95-2.98
7 Sn 0.5000 0.0000 0.0000  6 Pm 3.05
8 As 0.8326 0.6656 0.6652  6 Pm 2.94-2.99
9 As 0.1674 0.3344 0.3348  6 Pm 2.94-2.99
10 S 0.5000 0.5000 0.0000  6 Pm 2.88-2.98
11 S 0.8335 0.1684 0.6669  6 Pm 2.88-2.97
12 S 0.1665 0.8316 0.3331  6 Pm 2.88-2.97

Properties
E_tot = -6.1515 eV/atom
total magnetization = 0.000 μB/f.u.
space group = C2/m
raw formation energy = -1.636 eV/atom

The following is a DFT calculation (PBE) of an optimized crystal structure of Zr2ZnW.

a b c (Å): 5.3060 5.3060 5.3060
angles (deg): 134.23 134.23 66.73
Closest atoms and distances in Å follow each position.
Element x y z (fractional)
1 W 0.5000 0.5000 0.0000  8 Zr 2.92-3.03, 4 Zn 3.03
2 Zn 0.7500 0.2500 0.5000  8 Zr 2.92-3.03, 4 W 3.03
3 Zr 0.0000 0.0000 0.0000  4 W 2.92, 4 Zr 3.03, 4 Zn 3.03
4 Zr 0.2500 0.7500 0.5000  4 Zn 2.92, 4 Zr 3.03, 4 W 3.03

Properties
E_tot = -7.7144 eV/atom
total magnetization = 0.000 μB/f.u.
ΔH_f (0 K) = 0.1164 eV per atom
space group = I-4m2

The following is a DFT calculation (PBE) of an optimized crystal structure of NaScAuSe2.

a b c (Å): 4.9351 6.8469 7.2591
angles (deg): 98.05 90.00 90.00
Closest atoms and distances in Å follow each position.
Element x y z (fractional)
1 Na 0.1118 0.5000 0.7500  6 Se 2.99-3.34
2 Na 0.8882 0.5000 0.2500  6 Se 2.99-3.34
3 Sc 0.4962 0.0000 0.2500  4 Se 2.69-2.70
4 Sc 0.5038 0.0000 0.7500  4 Se 2.69-2.70
5 Au 0.0000 0.0000 0.0000  2 Se 2.54
6 Au 0.0000 0.0000 0.5000  2 Se 2.54
7 Se 0.6477 0.7264 0.9663  1 Au 2.54, 2 Sc 2.69-2.70
8 Se 0.6477 0.2736 0.5337  1 Au 2.54, 2 Sc 2.69-2.70
9 Se 0.3523 0.7264 0.4663  1 Au 2.54, 2 Sc 2.69-2.70
10 Se 0.3523 0.2736 0.0337  1 Au 2.54, 2 Sc 2.69-2.70

Properties
E_tot = -4.5489 eV/atom
total magnetization = 0.000 μB/f.u.
space group = P2/c
raw formation energy = -0.969 eV/atom

The following is a DFT calculation (PBE) of an optimized crystal structure of CaAlSe.

a b c (Å): 3.8218 3.8218 6.0154
angles (deg): 90.00 90.00 120.00
Closest atoms and distances in Å follow each position.
Element x y z (fractional)
1 Ca 0.6667 0.3333 0.3558  3 Se 2.98, 3 Al 3.27
2 Al 0.0000 0.0000 0.9554  3 Se 2.73
3 Se 0.3333 0.6667 0.6889  3 Al 2.73, 3 Ca 2.98

Properties
E_tot = -3.7084 eV/atom
total magnetization = 0.000 μB/f.u.
space group = P3m1
raw formation energy = -0.632 eV/atom